Al2CoP | GGA-PBE | optimized geometry

Values from the calculation:
**Energy of formation**: -0.17 eV/atom
**Crystal system**: trigonal
**Space-group type**: No. 160
**DOS at the Fermi energy**: 0.6065 states/eV/atom

abc: 7.572 7.572 7.572
angles: 22.71 22.71 22.71
Sites, in units of the cell vectors:
P  0.761  0.761  0.761
Co  0.491  0.491  0.491
Al  0.007  0.007  0.007
Al  0.241  0.241  0.241